one.
A plane-wave DFT calculation with GGA-PBE was carried out for a relaxed Sr2TbOs2 crystal.

Structure (POSCAR):
```
Sr2TbOs2
1.0
-2.5852 2.5852 4.8978
2.5852 -2.5852 4.8978
2.5852 2.5852 -4.8978
Sr Tb Os
2 1 2
Direct
0.1441 0.1441 0.0000
0.8559 0.8559 0.0000
0.5000 0.5000 0.0000
0.2500 0.7500 0.5000
0.7500 0.2500 0.5000
```



two.
A plane-wave DFT calculation with GGA-PBE was carried out for a relaxed Sr2TbOs2 crystal.

Structure (POSCAR):
```
Sr2TbOs2
1.0
-2.2364 2.2364 6.7201
2.2364 -2.2364 6.7201
2.2364 2.2364 -6.7201
Sr Tb Os
2 1 2
Direct
0.2500 0.7500 0.5000
0.7500 0.2500 0.5000
0.0000 0.0000 0.0000
0.4137 0.4137 0.0000
0.5863 0.5863 0.0000
```



Energy comparison, zero being the most stable, in eV/atom: one 0.494; two 0.000.



one.
A plane-wave DFT calculation with GGA-PBE was carried out for a relaxed TaTeOs crystal.

Structure (POSCAR):
```
TaTeOs
1.0
0.0000 3.1345 3.1345
3.1345 0.0000 3.1345
3.1345 3.1345 0.0000
Ta Te Os
1 1 1
Direct
0.0000 0.0000 0.0000
0.5000 0.5000 0.5000
0.2500 0.2500 0.2500
```



two.
A plane-wave DFT calculation with GGA-PBE was carried out for a relaxed TaTeOs crystal.

Structure (POSCAR):
```
TaTeOs
1.0
0.0000 3.1644 3.1644
3.1644 0.0000 3.1644
3.1644 3.1644 0.0000
Ta Te Os
1 1 1
Direct
0.0000 0.0000 0.0000
0.2500 0.2500 0.2500
0.7500 0.7500 0.7500
```



Energy comparison, zero being the most stable, in eV/atom: one 0.000; two 0.386.



one.
A plane-wave DFT calculation with GGA-PBE was carried out for a relaxed TbOs2W2 crystal.

Structure (POSCAR):
```
TbOs2W2
1.0
-2.1613 2.1613 5.2630
2.1613 -2.1613 5.2630
2.1613 2.1613 -5.2630
Tb Os W
1 2 2
Direct
0.0000 0.0000 0.0000
0.3772 0.3772 0.0000
0.6228 0.6228 0.0000
0.2500 0.7500 0.5000
0.7500 0.2500 0.5000
```



two.
A plane-wave DFT calculation with GGA-PBE was carried out for a relaxed TbOs2W2 crystal.

Structure (POSCAR):
```
TbOs2W2
1.0
-2.1519 2.1519 5.3374
2.1519 -2.1519 5.3374
2.1519 2.1519 -5.3374
Tb Os W
1 2 2
Direct
0.0000 0.0000 0.0000
0.2500 0.7500 0.5000
0.7500 0.2500 0.5000
0.3756 0.3756 0.0000
0.6244 0.6244 0.0000
```



Energy comparison, zero being the most stable, in eV/atom: one 0.000; two 0.253.



one.
A plane-wave DFT calculation with GGA-PBE was carried out for a relaxed TeOs2 crystal.

Structure (POSCAR):
```
TeOs2
1.0
0.0000 3.7795 3.7795
3.7795 0.0000 3.7795
3.7795 3.7795 0.0000
Te Os
2 4
Direct
0.1250 0.1250 0.1250
0.8750 0.8750 0.8750
0.0000 0.5000 0.5000
0.5000 0.0000 0.5000
0.5000 0.5000 0.0000
0.5000 0.5000 0.5000
```



two.
A plane-wave DFT calculation with GGA-PBE was carried out for a relaxed TeOs2 crystal.

Structure (POSCAR):
```
TeOs2
1.0
0.0000 5.9075 5.9075
5.9075 0.0000 5.9075
5.9075 5.9075 0.0000
Te Os
2 4
Direct
0.1250 0.1250 0.1250
0.8750 0.8750 0.8750
0.0000 0.0000 0.0000
0.0000 0.0000 0.5000
0.0000 0.5000 0.0000
0.5000 0.0000 0.0000
```



Energy comparison, zero being the most stable, in eV/atom: one 0.000; two 2.310.



one.
A plane-wave DFT calculation with GGA-PBE was carried out for a relaxed Tm5Te3Os crystal.

Structure (POSCAR):
```
Tm5Te3Os
1.0
8.6035 0.0000 0.0000
-4.3017 7.4508 0.0000
0.0000 0.0000 3.7459
Tm Te Os
5 3 1
Direct
0.0000 0.2291 0.0000
0.2291 0.0000 0.0000
0.3333 0.6667 0.0000
0.6667 0.3333 0.0000
0.7709 0.7709 0.0000
0.0000 0.5664 0.5000
0.4336 0.4336 0.5000
0.5664 0.0000 0.5000
0.0000 0.0000 0.5000
```



two.
A plane-wave DFT calculation with GGA-PBE was carried out for a relaxed Tm5Te3Os crystal.

Structure (POSCAR):
```
Tm5Te3Os
1.0
8.0760 0.0000 0.0000
-4.0380 6.9940 0.0000
0.0000 0.0000 4.1695
Tm Te Os
5 3 1
Direct
0.0000 0.6612 0.0000
0.3333 0.6667 0.5000
0.3388 0.3388 0.0000
0.6612 0.0000 0.0000
0.6667 0.3333 0.5000
0.0000 0.2568 0.5000
0.2568 0.0000 0.5000
0.7432 0.7432 0.5000
0.0000 0.0000 0.0000
```



Energy comparison, zero being the most stable, in eV/atom: one 0.000; two 0.198.



one.
A plane-wave DFT calculation with GGA-PBE was carried out for a relaxed TeOsW crystal.

Structure (POSCAR):
```
TeOsW
1.0
2.1364 1.2335 8.4813
-2.1364 1.2335 8.4813
0.0000 -2.4669 8.4813
Te Os W
2 2 2
Direct
0.2283 0.2283 0.2283
0.7717 0.7717 0.7717
0.0518 0.0518 0.0518
0.9482 0.9482 0.9482
0.3523 0.3523 0.3523
0.6477 0.6477 0.6477
```



two.
A plane-wave DFT calculation with GGA-PBE was carried out for a relaxed TeOsW crystal.

Structure (POSCAR):
```
TeOsW
1.0
0.0000 3.1059 3.1059
3.1059 0.0000 3.1059
3.1059 3.1059 0.0000
Te Os W
1 1 1
Direct
0.0000 0.0000 0.0000
0.2500 0.2500 0.2500
0.5000 0.5000 0.5000
```



Energy comparison, zero being the most stable, in eV/atom: one 0.000; two 0.294.



one.
A plane-wave DFT calculation with GGA-PBE was carried out for a relaxed Y3Zr3Te2Os crystal.

Structure (POSCAR):
```
Y3Zr3Te2Os
1.0
8.1180 0.0000 0.0000
-4.0590 7.0304 0.0000
0.0000 0.0000 3.8427
Y Zr Te Os
3 3 2 1
Direct
0.0000 0.3995 0.0000
0.3995 0.0000 0.0000
0.6005 0.6005 0.0000
0.0000 0.7614 0.5000
0.2386 0.2386 0.5000
0.7614 0.0000 0.5000
0.3333 0.6667 0.5000
0.6667 0.3333 0.5000
0.0000 0.0000 0.0000
```



two.
A plane-wave DFT calculation with GGA-PBE was carried out for a relaxed Y3Zr3Te2Os crystal.

Structure (POSCAR):
```
Y3Zr3Te2Os
1.0
8.1257 0.0000 0.0000
-4.0629 7.0371 0.0000
0.0000 0.0000 3.7728
Y Zr Te Os
3 3 2 1
Direct
0.0000 0.7515 0.0000
0.2485 0.2485 0.0000
0.7515 0.0000 0.0000
0.0000 0.4022 0.5000
0.4022 0.0000 0.5000
0.5978 0.5978 0.5000
0.3333 0.6667 0.0000
0.6667 0.3333 0.0000
0.0000 0.0000 0.5000
```



Energy comparison, zero being the most stable, in eV/atom: one 0.000; two 0.250.



one.
A plane-wave DFT calculation with GGA-PBE was carried out for a relaxed Tl2Os crystal.

Structure (POSCAR):
```
Tl2Os
1.0
0.0000 4.1774 4.1774
4.1774 0.0000 4.1774
4.1774 4.1774 0.0000
Tl Os
4 2
Direct
0.0000 0.0000 0.0000
0.0000 0.0000 0.5000
0.0000 0.5000 0.0000
0.5000 0.0000 0.0000
0.3750 0.3750 0.3750
0.6250 0.6250 0.6250
```



two.
A plane-wave DFT calculation with GGA-PBE was carried out for a relaxed Tl2Os crystal.

Structure (POSCAR):
```
Tl2Os
1.0
0.0000 5.9233 5.9233
5.9233 0.0000 5.9233
5.9233 5.9233 0.0000
Tl Os
4 2
Direct
0.0000 0.0000 0.0000
0.0000 0.0000 0.5000
0.0000 0.5000 0.0000
0.5000 0.0000 0.0000
0.1250 0.1250 0.1250
0.8750 0.8750 0.8750
```



Energy comparison, zero being the most stable, in eV/atom: one 0.474; two 0.000.



one.
A plane-wave DFT calculation with GGA-PBE was carried out for a relaxed UOsW crystal.

Structure (POSCAR):
```
UOsW
1.0
0.0000 3.1280 3.1280
3.1280 0.0000 3.1280
3.1280 3.1280 0.0000
U Os W
1 1 1
Direct
0.0000 0.0000 0.0000
0.2500 0.2500 0.2500
0.7500 0.7500 0.7500
```



two.
A plane-wave DFT calculation with GGA-PBE was carried out for a relaxed UOsW crystal.

Structure (POSCAR):
```
UOsW
1.0
0.0000 3.1543 3.1543
3.1543 0.0000 3.1543
3.1543 3.1543 0.0000
U Os W
1 1 1
Direct
0.0000 0.0000 0.0000
0.2500 0.2500 0.2500
0.5000 0.5000 0.5000
```



Energy comparison, zero being the most stable, in eV/atom: one 0.334; two 0.000.



one.
A plane-wave DFT calculation with GGA-PBE was carried out for a relaxed ZnOs2 crystal.

Structure (POSCAR):
```
ZnOs2
1.0
0.0000 2.8747 2.8747
2.8747 0.0000 2.8747
2.8747 2.8747 0.0000
Zn Os
1 2
Direct
0.0000 0.0000 0.0000
0.2500 0.2500 0.2500
0.7500 0.7500 0.7500
```



two.
A plane-wave DFT calculation with GGA-PBE was carried out for a relaxed ZnOs2 crystal.

Structure (POSCAR):
```
ZnOs2
1.0
0.0000 3.6403 3.6403
3.6403 0.0000 3.6403
3.6403 3.6403 0.0000
Zn Os
2 4
Direct
0.1250 0.1250 0.1250
0.8750 0.8750 0.8750
0.0000 0.5000 0.5000
0.5000 0.0000 0.5000
0.5000 0.5000 0.0000
0.5000 0.5000 0.5000
```



three.
A plane-wave DFT calculation with GGA-PBE was carried out for a relaxed ZnOs2 crystal.

Structure (POSCAR):
```
ZnOs2
1.0
0.0000 5.5381 5.5381
5.5381 0.0000 5.5381
5.5381 5.5381 0.0000
Zn Os
2 4
Direct
0.1250 0.1250 0.1250
0.8750 0.8750 0.8750
0.0000 0.0000 0.0000
0.0000 0.0000 0.5000
0.0000 0.5000 0.0000
0.5000 0.0000 0.0000
```



Energy comparison, zero being the most stable, in eV/atom: one 0.525; two 0.000; three 3.530.



one.
A plane-wave DFT calculation with GGA-PBE was carried out for a relaxed SrPPd3 crystal.

Structure (POSCAR):
```
SrPPd3
1.0
-4.4527 4.4527 9.7435
4.4527 -4.4527 9.7435
4.4527 4.4527 -9.7435
Sr P Pd
8 8 24
Direct
0.0000 0.0000 0.0000
0.2172 0.2172 0.0000
0.2358 0.7358 0.5000
0.4795 0.9795 0.5000
0.4858 0.4858 0.0000
0.7295 0.7295 0.0000
0.7500 0.2500 0.5000
0.9672 0.4672 0.5000
0.1429 0.1535 0.5029
0.1429 0.6400 0.9894
0.3900 0.3929 0.4894
0.3900 0.9007 0.9971
0.6507 0.1535 0.0106
0.6507 0.6400 0.4971
0.9035 0.3929 0.0029
0.9035 0.9007 0.5106
0.0151 0.0173 0.4997
0.0151 0.5154 0.9978
0.1060 0.4083 0.3023
0.1060 0.8037 0.6977
0.1168 0.8587 0.2581
0.1583 0.3560 0.8023
0.2654 0.2651 0.4978
0.2654 0.7676 0.0003
0.3568 0.0968 0.7401
0.3568 0.6167 0.2599
0.3667 0.6068 0.7599
0.4162 0.1122 0.3040
0.5176 0.0173 0.0022
0.5176 0.5154 0.5003
0.5537 0.3560 0.1977
0.6005 0.8587 0.7419
0.6087 0.3668 0.7581
0.6087 0.8505 0.2419
0.7673 0.2651 0.9997
0.7673 0.7676 0.5022
0.8082 0.1122 0.6960
0.8468 0.6068 0.2401
0.8622 0.0582 0.1960
0.8622 0.6662 0.8040
```



two.
A plane-wave DFT calculation with GGA-PBE was carried out for a relaxed SrPPd3 crystal.

Structure (POSCAR):
```
SrPPd3
1.0
4.6629 0.0000 0.0000
0.0000 4.6629 0.0000
0.0000 0.0000 4.6629
Sr P Pd
1 1 3
Direct
0.0000 0.0000 0.0000
0.5000 0.5000 0.5000
0.0000 0.5000 0.5000
0.5000 0.0000 0.5000
0.5000 0.5000 0.0000
```



Energy comparison, zero being the most stable, in eV/atom: one 0.000; two 0.120.



one.
A plane-wave DFT calculation with GGA-PBE was carried out for a relaxed Pr3PS2 crystal.

Structure (POSCAR):
```
Pr3PS2
1.0
-2.0646 2.9211 6.2311
2.0646 -2.9211 6.2311
2.0646 2.9211 -6.2311
Pr P S
3 1 2
Direct
0.0000 0.0000 0.0000
0.3380 0.3380 0.0000
0.6620 0.6620 0.0000
0.5000 0.0000 0.5000
0.1669 0.6669 0.5000
0.8331 0.3331 0.5000
```



two.
A plane-wave DFT calculation with GGA-PBE was carried out for a relaxed Pr3PS2 crystal.

Structure (POSCAR):
```
Pr3PS2
1.0
4.1400 0.0000 0.0000
-2.0700 3.5853 0.0000
0.0000 0.0000 10.1230
Pr P S
3 1 2
Direct
0.0000 0.0000 0.0000
0.3333 0.6667 0.3368
0.6667 0.3333 0.6632
0.0000 0.0000 0.5000
0.3333 0.6667 0.8358
0.6667 0.3333 0.1642
```



Energy comparison, zero being the most stable, in eV/atom: one 0.000; two 0.013.